No. 1
This record from the Alexandria database describes a relaxed TeRu2Br crystal. The functional is PBE.

Unit cell a=5.338 b=5.338 c=4.606 alpha=83.40 beta=83.40 gamma=34.77
Element x y z (fractional)
Ru  0.023  0.023  0.004
Ru  0.760  0.760  0.738
Te  0.476  0.476  0.574
Br  0.241  0.241  0.184

- ΔE_f (raw): 0.5902 eV/atom
- Magnetic moment: 0.00 μB/cell
- ΔE to the lowest computed polymorph: 214 meV/atom

=====

No. 2
This record from the Alexandria database describes a relaxed LiMg2Cl5 crystal. The functional is PBE.

Unit cell a=6.437 b=6.786 c=6.873 alpha=60.42 beta=65.54 gamma=90.00
Element x y z (fractional)
Li  0.991  0.977  0.046
Mg  0.522  0.973  0.055
Mg  0.948  0.381  0.238
Cl  0.666  0.624  0.262
Cl  0.666  0.113  0.262
Cl  0.266  0.744  0.013
Cl  0.266  0.243  0.013
Cl  0.897  0.167  0.665

- ΔE_f (raw): -1.7364 eV/atom
- Magnetic moment: 0.00 μB/cell

=====

No. 3
This record from the Alexandria database describes a relaxed TeWS crystal. The functional is PBE.

Unit cell a=3.357 b=3.357 c=39.421 alpha=90.00 beta=90.00 gamma=120.00
Element x y z (fractional)
Te  0.333  0.667  0.950
Te  0.667  0.333  0.050
Te  0.667  0.333  0.146
Te  0.333  0.667  0.854
W  0.333  0.667  0.718
W  0.333  0.667  0.098
W  0.667  0.333  0.902
W  0.667  0.333  0.282
S  0.333  0.667  0.321
S  0.667  0.333  0.679
S  0.667  0.333  0.756
S  0.333  0.667  0.244

- ΔE_f (raw): -0.3694 eV/atom
- Magnetic moment: 0.00 μB/cell

=====

No. 4
This record from the Alexandria database describes a relaxed MnV2AgBr crystal. The functional is PBE.

Unit cell a=5.064 b=4.724 c=5.064 alpha=90.00 beta=90.00 gamma=90.00
Site moments in Bohr magnetons follow the coordinates.
Element x y z (fractional)
Mn  0.000  0.500  0.000  -0.09
Br  0.500  0.500  0.500  -0.05
Ag  0.000  0.000  0.000  0.08
V  0.000  0.000  0.500  2.58
V  0.500  0.000  0.000  2.78

- ΔE_f (raw): 1.7559 eV/atom
- Magnetic moment: 6.23 μB/cell

=====

Question: Which value of magnetic moment does entry 1 give?
Answer: 0.00 μB/cell